Entry from Alexandria via LeMat-Bulk: a relaxed TlGa2AuBr crystal (PBE).

Output
E_form (uncorrected)	0.268	eV per atom
VASP energy	-12.03	eV per formula unit

Unit cell a=5.661 b=5.661 c=5.240 alpha=90.00 beta=90.00 gamma=90.00
Space group P4/mmm (No. 123)
One atom of each set of equivalent atoms:
Tl  0.000  0.000  0.000 (multiplicity 1)
Ga  0.000  0.500  0.000 (multiplicity 2)
Au  0.000  0.000  0.500 (multiplicity 1)
Br  0.500  0.500  0.500 (multiplicity 1)